Compound: V2GeOs
Source: Alexandria via LeMat-Bulk
Functional: GGA-PBE
Structure: optimized geometry

Output
crystal system	trigonal
calculated total energy	-32.8	eV per cell
SG	R3m, No. 160
E_form	0.31	eV/atom
D(E_F)	2.72	states/eV/f.u.

Geometry as CIF:
```
data_V2GeOs
_chemical_formula_sum 'V2 Ge1 Os1'
_cell_length_a 3.606
_cell_length_b 3.606
_cell_length_c 6.127
_cell_angle_alpha 72.89
_cell_angle_beta 72.89
_cell_angle_gamma 60.00
_symmetry_space_group_name_H-M 'P 1'
_symmetry_Int_Tables_number 1
loop_
_symmetry_equiv_pos_as_xyz
'x,y,z'
loop_
_atom_site_label
_atom_site_fract_x
_atom_site_fract_y
_atom_site_fract_z
V1 0.247 0.247 0.258
V2 0.083 0.083 0.752
Ge1 0.665 0.665 0.006
Os1 0.506 0.506 0.483
```